No. 1
A geometry-optimized Ce8CN4O3 structure, computed with PBE.

a b c (Å): 7.1232 7.1232 17.4882
angles (deg): 90.00 90.00 120.00
Space group R-3m (No. 166, hexagonal axes)
Unique sites:
Ce (0.0000, 0.0000, 0.2483) x6
Ce (0.0007, 0.5003, 0.2489) x18
C (0.0000, 0.0000, 0.0000) x3
N (0.0000, 0.0000, 0.5000) x3
N (0.0000, 0.5000, 0.5000) x9
O (0.0000, 0.5000, 0.0000) x9

Fermi-level density of states: 21.089 states/eV/f.u.
DFT total energy: -405.5 eV per cell
raw formation energy: -1894 meV/atom


No. 2
A geometry-optimized La2NdCo2 structure, computed with PBE.

a b c (Å): 13.157 3.912 11.678
angles (deg): 90.00 123.52 90.00
Space group C2/m (No. 12)
Unique sites:
La (0.031, 0.000, 0.185) x4
La (0.158, 0.000, 0.560) x4
Nd (0.215, 0.500, 0.856) x4
Co (0.022, 0.500, 0.405) x4
Co (0.100, 0.500, 0.024) x4

energy relative to the lowest polymorph listed for this composition: 0.00 eV/f.u.
Fermi-level density of states: 5.687 states/eV/f.u.
DFT total energy: -116.3 eV per cell
E_form: -48 meV/atom